[1]
## ZrTiTc2 (PBE)

Data for a relaxed structure of ZrTiTc2.

* DOS at the Fermi energy: 21.87 states/eV/cell
* spin magnetization: 0.000 μB/f.u.
* space group: I-42d, No. 122

Unit cell a=7.082 b=7.082 c=5.573 alpha=90.00 beta=90.00 gamma=90.00
Element x y z (fractional)
1 Zr 0.000 0.000 0.000
2 Zr 0.000 0.500 0.250
3 Zr 0.500 0.000 0.750
4 Zr 0.500 0.500 0.500
5 Ti 0.000 0.000 0.500
6 Ti 0.000 0.500 0.750
7 Ti 0.500 0.000 0.250
8 Ti 0.500 0.500 0.000
9 Tc 0.230 0.250 0.625
10 Tc 0.250 0.730 0.875
11 Tc 0.250 0.770 0.375
12 Tc 0.270 0.250 0.125
13 Tc 0.730 0.750 0.125
14 Tc 0.750 0.230 0.375
15 Tc 0.750 0.270 0.875
16 Tc 0.770 0.750 0.625

---

[2]
## ZrTi2Tc2 (PBE)

Data for a relaxed structure of ZrTi2Tc2.

* DOS at the Fermi energy: 5.67 states/eV/cell
* spin magnetization: 0.000 μB/f.u.
* space group: Cmmm, No. 65
* E above lowest polymorph: 0.000 eV/atom

Unit cell a=3.255 b=16.764 c=3.168 alpha=90.00 beta=90.00 gamma=90.00
Element x y z (fractional)
1 Zr 0.000 0.000 0.000
2 Zr 0.500 0.500 0.000
3 Ti 0.000 0.183 0.000
4 Ti 0.000 0.817 0.000
5 Ti 0.500 0.317 0.000
6 Ti 0.500 0.683 0.000
7 Tc 0.000 0.395 0.500
8 Tc 0.000 0.605 0.500
9 Tc 0.500 0.105 0.500
10 Tc 0.500 0.895 0.500

---

[3]
## ZrTi4Tc2 (PBE)

Data for a relaxed structure of ZrTi4Tc2.

* DOS at the Fermi energy: 11.30 states/eV/cell
* spin magnetization: 0.000 μB/f.u.
* space group: I4/mmm, No. 139

Unit cell a=4.721 b=4.721 c=12.457 alpha=90.00 beta=90.00 gamma=90.00
Element x y z (fractional)
1 Zr 0.000 0.000 0.000
2 Zr 0.500 0.500 0.500
3 Ti 0.000 0.000 0.208
4 Ti 0.000 0.000 0.792
5 Ti 0.000 0.500 0.000
6 Ti 0.000 0.500 0.500
7 Ti 0.500 0.000 0.000
8 Ti 0.500 0.000 0.500
9 Ti 0.500 0.500 0.292
10 Ti 0.500 0.500 0.708
11 Tc 0.000 0.000 0.379
12 Tc 0.000 0.000 0.621
13 Tc 0.500 0.500 0.121
14 Tc 0.500 0.500 0.879

---

[4]
## ZrTiTc2 (PBE)

Data for a relaxed structure of ZrTiTc2.

* DOS at the Fermi energy: 4.15 states/eV/cell
* spin magnetization: 0.000 μB/f.u.
* space group: P4/mmm, No. 123

Unit cell a=4.535 b=4.535 c=3.205 alpha=90.00 beta=90.00 gamma=90.00
Element x y z (fractional)
1 Zr 0.000 0.000 0.000
2 Ti 0.500 0.500 0.000
3 Tc 0.000 0.500 0.500
4 Tc 0.500 0.000 0.500

---

[5]
## ZrTiTc4 (PBE)

Data for a relaxed structure of ZrTiTc4.

* DOS at the Fermi energy: 9.56 states/eV/cell
* spin magnetization: 0.000 μB/f.u.
* space group: F-43m, No. 216

Unit cell a=5.207 b=5.207 c=5.207 alpha=60.00 beta=60.00 gamma=60.00
Element x y z (fractional)
1 Zr 0.000 0.000 0.000
2 Ti 0.250 0.250 0.250
3 Tc 0.126 0.625 0.625
4 Tc 0.625 0.126 0.625
5 Tc 0.625 0.625 0.126
6 Tc 0.625 0.625 0.625

---

[6]
## ZrTi3Tc2 (PBE)

Data for a relaxed structure of ZrTi3Tc2.

* DOS at the Fermi energy: 6.21 states/eV/cell
* spin magnetization: 0.000 μB/f.u.
* space group: P4/mmm, No. 123

Unit cell a=3.147 b=3.147 c=10.109 alpha=90.00 beta=90.00 gamma=90.00
Element x y z (fractional)
1 Zr 0.000 0.000 0.000
2 Ti 0.500 0.500 0.205
3 Ti 0.500 0.500 0.500
4 Ti 0.500 0.500 0.795
5 Tc 0.000 0.000 0.344
6 Tc 0.000 0.000 0.656

---

[7]
## Zr5TiTc6 (PBE)

Data for a relaxed structure of Zr5TiTc6.

* DOS at the Fermi energy: 12.75 states/eV/cell
* spin magnetization: 0.000 μB/f.u.
* space group: Immm, No. 71

Unit cell a=7.989 b=7.989 c=7.989 alpha=146.33 beta=131.81 gamma=60.07
Element x y z (fractional)
1 Zr 0.000 0.000 0.000
2 Zr 0.167 0.667 0.500
3 Zr 0.336 0.336 0.000
4 Zr 0.664 0.664 0.000
5 Zr 0.833 0.333 0.500
6 Ti 0.500 0.000 0.500
7 Tc 0.089 0.836 0.253
8 Tc 0.257 0.500 0.757
9 Tc 0.417 0.164 0.253
10 Tc 0.583 0.836 0.747
11 Tc 0.743 0.500 0.243
12 Tc 0.911 0.164 0.747

---

[8]
## Zr2TiTc (PBE)

Data for a relaxed structure of Zr2TiTc.

* DOS at the Fermi energy: 5.17 states/eV/cell
* spin magnetization: 0.001 μB/f.u.
* space group: P4/mmm, No. 123
* E above lowest polymorph: 0.000 eV/atom

Unit cell a=3.294 b=3.294 c=7.043 alpha=90.00 beta=90.00 gamma=90.00
Element x y z (fractional)
1 Zr 0.000 0.000 0.228
2 Zr 0.000 0.000 0.772
3 Ti 0.500 0.500 0.500
4 Tc 0.500 0.500 0.000

---

Per-record formation enthalpy at 0 K, meV per atom: 279; -208; 864; -370; -216; -347; -358; -155